A relaxed structure of TcNiB3, computed with GGA-PBE.

Cell and atoms, written as POSCAR:
```
TcNiB3
1.0
4.010 0.000 0.000
0.000 4.010 0.000
0.000 0.000 4.010
B Ni Tc
3 1 1
Direct
0.500 0.000 0.000 B
0.000 0.000 0.500 B
0.000 0.500 0.000 B
0.500 0.500 0.500 Ni
0.000 0.000 0.000 Tc
```

Properties
For the formation energy from the elements, the calculation gives 1296 meV/atom. As for the density of states at the Fermi level: 3.89 states/eV per cell. As for the final energy: -5.94 eV/atom. Its space group is Pm-3m. For the density, the calculation gives 4872 kg/m3.